# 1
Computed, not measured: a PBEsol-optimized structure of Li3SnP at the meta-GGA SCAN level of DFT.

Results
Raw total energy = -54.64 eV for the cell shown
Formation energy from the elements = -0.2308 eV per atom
D(E_F) = 0.488 states/eV per atom

The structure in CIF format:
```
data_Li3SnP
_chemical_formula_sum 'Li3 Sn1 P1'
_space_group_name_H-M_alt 'P m -3 m'
_space_group_IT_number 221
_space_group_name_Hall '-P 4 2 3'
_cell_length_a 4.597
_cell_length_b 4.597
_cell_length_c 4.597
_cell_angle_alpha 90.00
_cell_angle_beta 90.00
_cell_angle_gamma 90.00
loop_
_atom_site_label
_atom_site_fract_x
_atom_site_fract_y
_atom_site_fract_z
Li1 0.000 0.000 0.500
Sn1 0.500 0.500 0.500
P1 0.000 0.000 0.000
```


# 2
Computed, not measured: a PBEsol-optimized structure of KLiS2N at the meta-GGA SCAN level of DFT.

Results
Raw total energy = -34.13 eV for the cell shown
Formation energy from raw total energies = 1.026 eV per atom
D(E_F) = 0.551 states/eV per atom

The structure in CIF format:
```
data_KLiS2N
_chemical_formula_sum 'K1 Li1 S2 N1'
_space_group_name_H-M_alt 'P 4/m m m'
_space_group_IT_number 123
_space_group_name_Hall '-P 4 2'
_cell_length_a 5.636
_cell_length_b 5.636
_cell_length_c 5.013
_cell_angle_alpha 90.00
_cell_angle_beta 90.00
_cell_angle_gamma 90.00
loop_
_atom_site_label
_atom_site_fract_x
_atom_site_fract_y
_atom_site_fract_z
K1 0.000 0.000 0.000
Li1 0.500 0.500 0.500
S1 0.000 0.500 0.000
N1 0.000 0.000 0.500
```


# 3
Computed, not measured: a PBEsol-optimized structure of Al2O3 at the meta-GGA SCAN level of DFT.

Results
Raw total energy = -202.16 eV for the cell shown
Formation energy from raw total energies = -3.268 eV per atom
D(E_F) = 0.000 states/eV per atom

The structure in CIF format:
```
data_Al2O3
_chemical_formula_sum 'Al8 O12'
_space_group_name_H-M_alt 'P b c n'
_space_group_IT_number 60
_space_group_name_Hall '-P 2n 2ab'
_cell_length_a 7.028
_cell_length_b 4.813
_cell_length_c 4.949
_cell_angle_alpha 90.00
_cell_angle_beta 90.00
_cell_angle_gamma 90.00
loop_
_atom_site_label
_atom_site_fract_x
_atom_site_fract_y
_atom_site_fract_z
Al1 0.110 0.248 0.031
O1 0.000 0.050 0.750
O2 0.154 0.393 0.397
```


# 4
Computed, not measured: a PBEsol-optimized structure of ZnBi2Se at the meta-GGA SCAN level of DFT.

Results
Raw total energy = -759.49 eV for the cell shown
Formation energy from raw total energies = 0.220 eV per atom
D(E_F) = 0.510 states/eV per atom

The structure in CIF format:
```
data_ZnBi2Se
_chemical_formula_sum 'Zn4 Bi8 Se4'
_space_group_name_H-M_alt 'I -4 2 d'
_space_group_IT_number 122
_space_group_name_Hall 'I -4 2bw'
_cell_length_a 6.119
_cell_length_b 6.119
_cell_length_c 14.141
_cell_angle_alpha 90.00
_cell_angle_beta 90.00
_cell_angle_gamma 90.00
loop_
_atom_site_label
_atom_site_fract_x
_atom_site_fract_y
_atom_site_fract_z
Zn1 0.000 0.000 0.000
Bi1 0.224 0.250 0.125
Se1 0.000 0.000 0.500
```